No. 1
# LiCeDyIr

A relaxed structure of LiCeDyIr (PBE, Alexandria via LeMat-Bulk).

## Properties
calculated total energy = -5.75 eV per atom
energy of formation from the pure elements = -425 meV per atom

Unit cell a=7.0227 b=7.0227 c=7.0227 alpha=90.00 beta=90.00 gamma=90.00
Atoms (fractional coordinates):
Li 0.0000 0.0000 0.0000
Li 0.0000 0.5000 0.5000
Li 0.5000 0.0000 0.5000
Li 0.5000 0.5000 0.0000
Ce 0.2500 0.2500 0.2500
Ce 0.2500 0.7500 0.7500
Ce 0.7500 0.2500 0.7500
Ce 0.7500 0.7500 0.2500
Dy 0.2500 0.2500 0.7500
Dy 0.2500 0.7500 0.2500
Dy 0.7500 0.2500 0.2500
Dy 0.7500 0.7500 0.7500
Ir 0.0000 0.0000 0.5000
Ir 0.0000 0.5000 0.0000
Ir 0.5000 0.0000 0.0000
Ir 0.5000 0.5000 0.5000

---

No. 2
# Tm3B2TeRh9

A relaxed structure of Tm3B2TeRh9 (PBE, Alexandria via LeMat-Bulk).

## Properties
E_form (uncorrected) = -0.65 eV/atom
calculated total energy = -7.05 eV per atom

Unit cell a=5.8508 b=5.8508 c=8.7717 alpha=90.00 beta=90.00 gamma=120.00
Atoms (fractional coordinates):
Tm 0.0000 0.0000 0.0000
Tm 0.3333 0.6667 0.7187
Tm 0.6667 0.3333 0.2813
B 0.3333 0.6667 0.1471
B 0.6667 0.3333 0.8529
Te 0.0000 0.0000 0.5000
Rh 0.0000 0.5000 0.0000
Rh 0.1612 0.3224 0.2682
Rh 0.1612 0.8388 0.2682
Rh 0.3224 0.1612 0.7318
Rh 0.5000 0.0000 0.0000
Rh 0.5000 0.5000 0.0000
Rh 0.6776 0.8388 0.2682
Rh 0.8388 0.1612 0.7318
Rh 0.8388 0.6776 0.7318

---

No. 3
# MnV3C

A relaxed structure of MnV3C (PBE, Alexandria via LeMat-Bulk).

## Properties
calculated total energy = -9.26 eV per atom
polymorph energy (0 for the lowest one) = 0 meV/atom
energy of formation from the pure elements = -107 meV per atom

Unit cell a=3.9643 b=3.9643 c=3.9643 alpha=90.00 beta=90.00 gamma=90.00
Atoms (fractional coordinates):
Mn 0.0000 0.0000 0.0000
V 0.0000 0.5000 0.5000
V 0.5000 0.0000 0.5000
V 0.5000 0.5000 0.0000
C 0.5000 0.5000 0.5000

---

No. 4
# Tl8SbAu2

A relaxed structure of Tl8SbAu2 (PBE, Alexandria via LeMat-Bulk).

## Properties
E_form (uncorrected) = -0.01 eV/atom
calculated total energy = -2.70 eV per atom
polymorph energy (0 for the lowest one) = 0 meV/atom

Unit cell a=9.8193 b=9.8193 c=7.6866 alpha=101.87 beta=101.87 gamma=26.65
Atoms (fractional coordinates):
Tl 0.0268 0.0268 0.2400
Tl 0.2071 0.2071 0.8165
Tl 0.3322 0.3322 0.5226
Tl 0.4011 0.4011 0.0310
Tl 0.5989 0.5989 0.9690
Tl 0.6679 0.6679 0.4774
Tl 0.7929 0.7929 0.1835
Tl 0.9732 0.9732 0.7600
Sb 0.5000 0.5000 0.5000
Au 0.1866 0.1866 0.2157
Au 0.8134 0.8134 0.7843

---

No. 5
# Tb4GaNi

A relaxed structure of Tb4GaNi (PBE, Alexandria via LeMat-Bulk).

## Properties
calculated total energy = -4.86 eV per atom
polymorph energy (0 for the lowest one) = 0 meV/atom
energy of formation from the pure elements = -306 meV per atom

Unit cell a=6.0083 b=6.7719 c=8.1507 alpha=90.00 beta=109.80 gamma=90.00
Atoms (fractional coordinates):
Tb 0.0150 0.0013 0.2269
Tb 0.0150 0.4987 0.2269
Tb 0.4091 0.2500 0.6231
Tb 0.4353 0.2500 0.0886
Tb 0.5647 0.7500 0.9114
Tb 0.5909 0.7500 0.3769
Tb 0.9850 0.5013 0.7731
Tb 0.9850 0.9987 0.7731
Ga 0.2151 0.7500 0.5535
Ga 0.7849 0.2500 0.4465
Ni 0.2318 0.7500 0.0577
Ni 0.7682 0.2500 0.9423

---

No. 6
# TaAlTe2

A relaxed structure of TaAlTe2 (PBE, Alexandria via LeMat-Bulk).

## Properties
E_form (uncorrected) = 0.22 eV/atom
calculated total energy = -5.25 eV per atom

Unit cell a=9.5085 b=3.4873 c=5.4760 alpha=90.00 beta=97.48 gamma=90.00
Atoms (fractional coordinates):
Ta 0.0000 0.0000 0.0000
Ta 0.5000 0.5000 0.0000
Al 0.0000 0.5000 0.5000
Al 0.5000 0.0000 0.5000
Te 0.2171 0.5000 0.2316
Te 0.2829 0.0000 0.7684
Te 0.7171 0.0000 0.2316
Te 0.7829 0.5000 0.7684